This record from the Alexandria database describes crystalline BaNiSb2O8 at its relaxed geometry. The functional is PBE+U.

Unit cell a=5.390 b=5.390 c=6.701 alpha=90.00 beta=90.00 gamma=120.00
Site moments in Bohr magnetons follow the coordinates.
Atoms (fractional coordinates):
O1 0.352 0.296 0.865  -0.08
O2 0.056 0.352 0.135  -0.08
O3 0.667 0.333 0.370  -0.37
O4 0.296 0.944 0.135  -0.08
Sb1 0.667 0.333 0.076  0.02
O5 0.333 0.667 0.630  -0.37
O6 0.944 0.648 0.865  -0.08
Ba1 0.000 0.000 0.500  0.00
O7 0.648 0.704 0.135  -0.08
Sb2 0.333 0.667 0.924  0.02
O8 0.704 0.056 0.865  -0.08
Ni1 0.000 0.000 0.000  1.43

## Properties
space group = P-3
electronic total energy = -5.62 eV per atom
crystal system = trigonal